DFT (GGA+U) results for an optimized crystal structure of VReN2O.

Unit cell a=3.911 b=3.911 c=3.860 alpha=90.00 beta=90.00 gamma=90.00
Space group P4/mmm (No. 123)
One atom of each set of equivalent atoms:
V 0.000 0.000 0.000 (multiplicity 1)
Re 0.500 0.500 0.500 (multiplicity 1)
N 0.000 0.500 0.500 (multiplicity 2)
O 0.500 0.500 0.000 (multiplicity 1)

Calculated values
energy	-8.2034	eV per atom
spin magnetization	2.7	μB/f.u.
N(E_F)	0.614	states/eV per atom